No. 1
# Zn2PdAu6

A geometry-optimized Zn2PdAu6 structure (PBE, Alexandria via LeMat-Bulk).

Computed properties:
Its space group is C2/m (12). For the excess energy over the best structure of this formula in the dataset, the calculation gives 62 meV/atom. The calculated density comes out at 15.2 g/cm3. The value obtained for the total magnetic moment is 0.0 μB/cell. As for the energy relative to the elements: -0.1042 eV/atom.

Cell: 4.5558 4.5558 8.4300 Å, 98.49 98.49 63.98°
Fractional coordinates of all 9 atoms:
Zn 0.1780 0.1780 0.4319
Zn 0.8220 0.8220 0.5681
Pd 0.5000 0.5000 0.0000
Au 0.1491 0.1491 0.7663
Au 0.1751 0.1751 0.1114
Au 0.4743 0.4743 0.6591
Au 0.5257 0.5257 0.3409
Au 0.8249 0.8249 0.8886
Au 0.8509 0.8509 0.2337

=====

No. 2
# Ba2Tl4InHg3

A geometry-optimized Ba2Tl4InHg3 structure (PBE, Alexandria via LeMat-Bulk).

Computed properties:
Its space group is P-4m2 (115). The calculated density comes out at 9.2 g/cm3. The value obtained for the total magnetic moment is 0.0 μB/cell. As for the energy relative to the elements: -0.2877 eV/atom.

Cell: 5.1368 5.1368 12.4383 Å, 90.00 90.00 90.00°
Fractional coordinates of all 10 atoms:
Ba 0.0000 0.5000 0.2457
Ba 0.5000 0.0000 0.7543
Tl 0.0000 0.0000 0.5000
Tl 0.0000 0.5000 0.8685
Tl 0.5000 0.0000 0.1315
Tl 0.5000 0.5000 0.5000
In 0.5000 0.5000 0.0000
Hg 0.0000 0.0000 0.0000
Hg 0.0000 0.5000 0.6348
Hg 0.5000 0.0000 0.3652